## DySc2O4 (PBE)

Data for a relaxed structure of DySc2O4.

abc: 5.432 5.432 10.361
angles: 90.00 90.00 146.36
Element x y z (fractional)
Dy: 0.121 0.879 0.750
Dy: 0.879 0.121 0.250
Sc: 0.372 0.628 0.569
Sc: 0.372 0.628 0.931
Sc: 0.628 0.372 0.069
Sc: 0.628 0.372 0.431
O: 0.000 0.000 0.000
O: 0.000 0.000 0.500
O: 0.274 0.726 0.115
O: 0.274 0.726 0.385
O: 0.462 0.538 0.750
O: 0.538 0.462 0.250
O: 0.726 0.274 0.615
O: 0.726 0.274 0.885

- E_form (uncorrected) (eV/f.u.) = -23.5
- excess energy over the best structure of this formula in the dataset (meV per atom) = 0
- size of the total moment (μB per formula unit) = 0.00
- density of states at the Fermi level (states/eV per atom) = 0.14